# 1
This record from Alexandria via LeMat-Bulk describes crystalline NbCo2Au at its relaxed geometry. The functional is GGA-PBE.

The structure in POSCAR format:
```
NbCo2Au
1.0
-5.9298 -2.8485 -1.1222
1.7060 -1.0431 -6.3668
-1.0608 -4.4034 -3.0602
Co Nb Au
4 2 2
Direct
0.6029 0.1250 0.2500
0.1471 0.6250 0.2500
0.3750 0.3971 0.7500
0.8750 0.8529 0.7500
0.5000 0.5000 0.0000
0.2500 0.7500 0.5000
0.0000 0.0000 0.0000
0.7500 0.2500 0.5000
```

Calculated values
Its energy above the lowest structure with this stoichiometry is 436 meV/atom. The calculated total energy is -6.496 eV per atom. The theoretical density comes out at 11.02 g cm⁻³. As for the space group: I-42d (122). The formation energy is 393 meV per atom. The calculation puts the density of states at the Fermi level at 1.82 states/eV/cell.

---

# 2
This record from Alexandria via LeMat-Bulk describes crystalline SiHgAs2 at its relaxed geometry. The functional is GGA-PBE.

The structure in POSCAR format:
```
SiHgAs2
1.0
2.8196 0.0000 0.0000
0.0000 4.4518 0.0000
0.0000 0.0000 7.3381
As Hg Si
2 1 1
Direct
0.0000 0.0000 0.9792
0.5000 0.5000 0.1747
0.0000 0.0000 0.5067
0.5000 0.5000 0.8394
```

Calculated values
The calculated total energy is -3.318 eV per atom. The theoretical density comes out at 6.82 g cm⁻³. As for the space group: Pmm2 (25). The calculation puts the density of states at the Fermi level at 0.96 states/eV/cell.

---

# 3
This record from Alexandria via LeMat-Bulk describes crystalline BaNaPb2 at its relaxed geometry. The functional is GGA-PBE.

The structure in POSCAR format:
```
BaNaPb2
1.0
-4.5753 2.8858 0.4103
1.4881 -1.7872 -6.6995
-4.1650 -6.7270 0.8694
Ba Na Pb
2 2 4
Direct
0.9150 0.8300 0.2500
0.0850 0.1700 0.7500
0.2043 0.4086 0.2500
0.7957 0.5914 0.7500
0.3853 0.7706 0.9426
0.6147 0.2294 0.0574
0.6147 0.2294 0.4426
0.3853 0.7706 0.5574
```

Calculated values
The calculated total energy is -3.042 eV per atom. The theoretical density comes out at 6.75 g cm⁻³. As for the space group: Cmcm (63). The formation energy is -377 meV per atom. The calculation puts the density of states at the Fermi level at 2.92 states/eV/cell.

---

# 4
This record from Alexandria via LeMat-Bulk describes crystalline LiGaS2 at its relaxed geometry. The functional is GGA-PBE.

The structure in POSCAR format:
```
LiGaS2
1.0
-0.4917 3.0667 -7.8631
3.1790 -1.3037 -0.7072
-5.2488 -10.7106 -3.8491
S Ga Li
8 4 4
Direct
0.6876 0.2500 0.4858
0.8124 0.7500 0.9858
0.3124 0.7500 0.5142
0.1876 0.2500 0.0142
0.5272 0.2500 0.7286
0.9728 0.7500 0.2286
0.4728 0.7500 0.2714
0.0272 0.2500 0.7714
0.4429 0.2500 0.3950
0.0571 0.7500 0.8950
0.5571 0.7500 0.6050
0.9429 0.2500 0.1050
0.2518 0.2500 0.6546
0.2482 0.7500 0.1546
0.7482 0.7500 0.3454
0.7518 0.2500 0.8454
```

Calculated values
The calculated total energy is -4.129 eV per atom. The theoretical density comes out at 2.52 g cm⁻³. As for the space group: Pnma (62). The calculation puts the density of states at the Fermi level at 0.00 states/eV/cell.

---

# 5
This record from Alexandria via LeMat-Bulk describes crystalline Sc2PS at its relaxed geometry. The functional is GGA-PBE.

The structure in POSCAR format:
```
Sc2PS
1.0
3.6001 0.5437 2.8406
-0.2158 -1.5875 4.3311
2.5295 -3.6565 1.2477
Sc P S
2 1 1
Direct
0.2500 0.2500 0.2500
0.7500 0.7500 0.7500
0.0000 0.0000 0.0000
0.5000 0.5000 0.5000
```

Calculated values
Its energy above the lowest structure with this stoichiometry is 532 meV/atom. The calculated total energy is -6.760 eV per atom. The theoretical density comes out at 3.65 g cm⁻³. As for the space group: Fm-3m (225). The calculation puts the density of states at the Fermi level at 3.99 states/eV/cell.

---

# 6
This record from Alexandria via LeMat-Bulk describes crystalline CsNaI2 at its relaxed geometry. The functional is GGA-PBE.

The structure in POSCAR format:
```
CsNaI2
1.0
9.0586 0.0000 0.0000
0.0000 9.0586 0.0000
4.5293 4.5293 5.0037
Cs I Na
2 4 2
Direct
0.0000 0.0000 0.0000
0.7500 0.2500 0.5000
0.5612 0.1250 0.2500
0.1888 0.6250 0.2500
0.3750 0.4388 0.7500
0.8750 0.8112 0.7500
0.5000 0.5000 0.0000
0.2500 0.7500 0.5000
```

Calculated values
Its energy above the lowest structure with this stoichiometry is 18 meV/atom. The calculated total energy is -2.669 eV per atom. The theoretical density comes out at 3.31 g cm⁻³. As for the space group: I-42d (122). The calculation puts the density of states at the Fermi level at 0.00 states/eV/cell.

---

# 7
This record from Alexandria via LeMat-Bulk describes crystalline TiTlAu2 at its relaxed geometry. The functional is GGA-PBE.

The structure in POSCAR format:
```
TiTlAu2
1.0
7.7069 0.0000 0.0000
0.0000 7.7069 0.0000
3.8535 3.8535 2.8902
Tl Au Ti
2 4 2
Direct
0.0000 0.0000 0.0000
0.7500 0.2500 0.5000
0.5935 0.1250 0.2500
0.1565 0.6250 0.2500
0.3750 0.4065 0.7500
0.8750 0.8435 0.7500
0.5000 0.5000 0.0000
0.2500 0.7500 0.5000
```

Calculated values
The calculated total energy is -4.101 eV per atom. The theoretical density comes out at 12.50 g cm⁻³. As for the space group: I-42d (122). The formation energy is 103 meV per atom. The calculation puts the density of states at the Fermi level at 11.55 states/eV/cell.

---

# 8
This record from Alexandria via LeMat-Bulk describes crystalline LiCuTc at its relaxed geometry. The functional is GGA-PBE.

The structure in POSCAR format:
```
LiCuTc
1.0
-0.1008 -0.9442 -2.4633
2.1801 -0.3298 1.4519
-2.4747 -5.9209 2.3708
Cu Li Tc
1 1 1
Direct
0.0000 0.0000 0.0001
0.6667 0.3333 0.3246
0.3333 0.6667 0.6753
```

Calculated values
Its energy above the lowest structure with this stoichiometry is 32 meV/atom. The calculated total energy is -5.247 eV per atom. The theoretical density comes out at 6.78 g cm⁻³. As for the space group: P3m1 (156). The formation energy is 212 meV per atom. The calculation puts the density of states at the Fermi level at 2.32 states/eV/cell.

---

# 9
This record from Alexandria via LeMat-Bulk describes crystalline AsH at its relaxed geometry. The functional is GGA-PBE.

The structure in POSCAR format:
```
AsH
1.0
3.5149 0.0000 0.0000
-1.7574 3.0440 0.0000
0.0000 0.0000 4.7496
As H
2 2
Direct
0.3333 0.6667 0.7293
0.6667 0.3333 0.2293
0.3333 0.6667 0.3527
0.6667 0.3333 0.8527
```

Calculated values
Its energy above the lowest structure with this stoichiometry is 721 meV/atom. The calculated total energy is -3.224 eV per atom. The theoretical density comes out at 4.96 g cm⁻³. As for the space group: P6_3mc (186). The calculation puts the density of states at the Fermi level at 2.27 states/eV/cell.

---

# 10
This record from Alexandria via LeMat-Bulk describes crystalline RbPrAgS2 at its relaxed geometry. The functional is GGA-PBE.

The structure in POSCAR format:
```
RbPrAgS2
1.0
5.1430 0.0000 0.0000
0.0000 7.6878 0.4550
0.0000 -1.8886 7.9651
Rb Pr Ag S
2 2 2 4
Direct
0.1429 0.5000 0.7500
0.8571 0.5000 0.2500
0.4924 0.0000 0.2500
0.5076 0.0000 0.7500
0.0000 0.0000 0.0000
0.0000 0.0000 0.5000
0.6468 0.7650 0.9638
0.6468 0.2350 0.5362
0.3532 0.7650 0.4638
0.3532 0.2350 0.0362
```

Calculated values
The calculated total energy is -4.440 eV per atom. The theoretical density comes out at 4.14 g cm⁻³. As for the space group: P2/c (13). The calculation puts the density of states at the Fermi level at 2.78 states/eV/cell.

---

# 11
This record from Alexandria via LeMat-Bulk describes crystalline MnPd2Au4 at its relaxed geometry. The functional is GGA-PBE.

The structure in POSCAR format:
```
MnPd2Au4
1.0
-5.9788 -2.2394 2.5554
0.8633 -4.8125 -2.1975
6.2383 -0.8037 4.2108
Mn Pd Au
2 4 8
Direct
0.2382 0.7500 0.1627
0.7618 0.2500 0.8373
0.7946 0.7500 0.9977
0.2054 0.2500 0.0023
0.4542 0.2500 0.4562
0.5458 0.7500 0.5438
0.6183 0.5016 0.2264
0.9986 0.7500 0.7637
0.0014 0.2500 0.2363
0.6183 0.9984 0.2264
0.9367 0.2500 0.5869
0.3817 0.0016 0.7736
0.3817 0.4984 0.7736
0.0633 0.7500 0.4131
```

Calculated values
Its energy above the lowest structure with this stoichiometry is 7 meV/atom. The calculated total energy is -4.687 eV per atom. The theoretical density comes out at 14.28 g cm⁻³. As for the space group: P2_1/m (11). The formation energy is -21 meV per atom. The calculation puts the density of states at the Fermi level at 5.15 states/eV/cell.

---

# 12
This record from Alexandria via LeMat-Bulk describes crystalline Te6MoW3Se2 at its relaxed geometry. The functional is GGA-PBE.

The structure in POSCAR format:
```
Te6MoW3Se2
1.0
-1.4224 -0.0006 -3.1904
0.8413 -3.0215 1.5378
-26.9287 -1.3873 12.0063
Te Mo W Se
6 1 3 2
Direct
0.0000 0.0000 0.3127
0.3333 0.6667 0.9335
0.3333 0.6667 0.4438
0.3333 0.6667 0.0577
0.3333 0.6667 0.5687
0.0000 0.0000 0.1878
0.0000 0.0000 0.9956
0.0000 0.0000 0.5063
0.3333 0.6667 0.2503
0.3333 0.6667 0.7508
0.0000 0.0000 0.8058
0.0000 0.0000 0.6958
```

Calculated values
Its energy above the lowest structure with this stoichiometry is 0 meV/atom. The calculated total energy is -6.523 eV per atom. The theoretical density comes out at 8.36 g cm⁻³. As for the space group: P3m1 (156).